The following is a PBE calculation of a geometry-optimized Cs3PtS2 structure, from the Alexandria database.

Cell and atoms, written as POSCAR:
```
Cs3PtS2
1.0
9.049 0.000 4.034
3.198 7.211 4.993
1.315 0.685 9.217
Cs Pt S
6 2 4
Direct
0.063 0.187 0.187
0.437 0.813 0.813
0.250 0.500 0.500
0.750 0.500 0.500
0.937 0.813 0.813
0.563 0.187 0.187
0.000 0.000 0.000
0.500 0.000 0.000
0.908 0.855 0.329
0.092 0.145 0.671
0.592 0.671 0.145
0.408 0.329 0.855
```

Output
N(E_F): 0.878 states/eV per atom
SG: Ibam (72)
formation energy without anion corrections: -0.750 eV per atom
volume: 541.1 Å³/cell